An optimized crystal structure of CsRb3Mo6O20. Source: the Alexandria database, functional GGA+U.

Lattice parameters (Å, degrees): 8.5806 8.5885 8.8615 117.36 84.72 105.84
Fractional coordinates of all 30 atoms:
Cs  0.3118  0.7639  0.0902
Rb  0.8485  0.9681  0.2730
Rb  0.1489  0.0299  0.7283
Rb  0.6861  0.2383  0.9066
Mo  0.5438  0.3023  0.4722
Mo  0.4544  0.6978  0.5330
Mo  0.9679  0.5523  0.3494
Mo  0.0306  0.4464  0.6464
Mo  0.2404  0.3341  0.2013
Mo  0.7627  0.6675  0.7994
O  0.5768  0.1212  0.2828
O  0.4282  0.8842  0.7220
O  0.7620  0.4541  0.2895
O  0.2387  0.5438  0.6975
O  0.3956  0.1999  0.5692
O  0.6023  0.7944  0.4314
O  0.2695  0.6254  0.3930
O  0.7289  0.3739  0.6122
O  0.4058  0.3979  0.3789
O  0.5933  0.6000  0.6235
O  0.0644  0.3985  0.1403
O  0.9422  0.6067  0.8586
O  0.0175  0.7568  0.3332
O  0.9822  0.2460  0.6699
O  0.1703  0.0998  0.1334
O  0.8266  0.9021  0.8661
O  0.3696  0.3485  0.0416
O  0.6378  0.6499  0.9607
O  0.0306  0.3503  0.4054
O  0.9627  0.6459  0.5909

total magnetic moment: 0.00 μB/f.u.
Fermi-level density of states: 0.00 states/eV/f.u.
VASP energy: -197.95 eV/cell